10
Lattice="-1.9868 2.0335 12.3950 1.9868 -2.0335 12.3950 1.9868 2.0335 -12.3950" Properties=species:S:1:pos:R:3 comment="PBE-GGA Li2LaCu2, relaxed" e_form_ev_per_atom=-0.111 relative_energy_ev_per_atom=0.000 m_tot_mub_per_fu=0.0 e_tot_ev_per_atom=-3.50 pbc="T T T"
Li 1.9868 1.0168 -5.0147
Li 0.0000 1.0168 4.9824
Li 1.9868 1.0168 7.4126
Li 0.0000 1.0168 17.4096
La 1.9868 1.0168 1.9077
La 0.0000 1.0168 10.4873
Cu 1.9868 -1.0168 9.1702
Cu 1.9868 -1.0168 11.6931
Cu 0.0000 3.0503 0.7019
Cu 0.0000 3.0503 3.2247